Entry from Alexandria: a crystal of POs3Au relaxed with PBEsol (meta-GGA SCAN).

a b c (Å): 4.323 4.323 4.323
angles (deg): 90.00 90.00 90.00
Space group Pm-3m (No. 221)
Symmetry-distinct sites (fractional):
P  0.000  0.000  0.000 (multiplicity 1)
Os  0.000  0.000  0.500 (multiplicity 3)
Au  0.500  0.500  0.500 (multiplicity 1)

Calculated values
calculated formation energy	1.104	eV/atom
E	-289.67	eV for the cell shown